Sc2Ga2Co5Si: optimized geometry, GGA-PBE.

The uncorrected formation energy is -3.415 eV/f.u. The value obtained for the total energy is -6.308 eV/atom.

It has space group P4/mbm (No. 127), with a = 9.2109 Å, b = 9.2109 Å, c = 3.1772 Å, α = 90.00°, β = 90.00° and γ = 90.00°. The inequivalent atoms are Sc at (0.1699, 0.3301, 0.0000), Ga at (0.1292, 0.6292, 0.0000), Co at (0.0000, 0.5000, 0.5000), Co at (0.0605, 0.8082, 0.5000) and Si at (0.0000, 0.0000, 0.0000).